# 1
The following is a DFT calculation (PBE) of a relaxed Sr3UTl3Se8 crystal.

**Mass density**: 5.70 g/cm3
**Energy**: -4.595 eV/atom
**Volume**: 509 Å³ per cell
**Magnetization**: 0.0 Bohr magnetons per cell
**Formation energy from raw total energies**: -1.175 eV/atom

Cell lengths 8.8616, 8.8609, 9.0641 Å; angles 119.28, 90.00, 120.00 degrees
Last column: nearest neighbours and their distance in Å.
Fractional positions:
Se (0.2151, 0.4302, 0.7084)  1 U 2.72
Se (0.2216, 0.0065, 0.2916)  1 U 2.72
Se (0.2572, 0.5145, 0.2720)  3 Sr 3.07-3.08, 3 Tl 3.27
Se (0.7784, 0.9935, 0.7084)  1 U 2.72
Se (0.2151, 0.9935, 0.7084)  1 U 2.72
Se (0.7428, 0.4855, 0.7280)  3 Sr 3.07-3.08, 3 Tl 3.27
Se (0.7849, 0.0065, 0.2916)  1 U 2.72
Se (0.7849, 0.5698, 0.2916)  1 U 2.72
Sr (0.0000, 0.5000, 0.5000)  6 Se 3.07-3.15
Sr (0.5000, 0.0000, 0.5000)  6 Se 3.08-3.15
Sr (0.5000, 0.5000, 0.5000)  6 Se 3.07-3.15
Tl (0.0000, 0.0000, 0.0000)  6 Se 3.25-3.27
Tl (0.0000, 0.5000, 0.0000)  6 Se 3.25-3.27
Tl (0.5000, 0.5000, 0.0000)  6 Se 3.25-3.27
U (0.0000, 0.0000, 0.5000)  6 Se 2.72

***

# 2
The following is a DFT calculation (PBE) of a relaxed HfAgSn2 crystal.

**Mass density**: 8.98 g/cm3
**Energy**: -5.023 eV/atom
**Volume**: 194 Å³ per cell
**Magnetization**: 0.0 Bohr magnetons per cell
**Formation energy**: 0.1792 eV per atom

Cell lengths 4.4175, 4.4175, 10.4080 Å; angles 77.75, 77.75, 90.00 degrees
Last column: nearest neighbours and their distance in Å.
Fractional positions:
Hf (0.0000, 0.0000, 0.0000)  4 Sn 2.94, 4 Ag 3.12
Hf (0.7500, 0.2500, 0.5000)  4 Sn 2.94, 4 Ag 3.12
Ag (0.5000, 0.5000, 0.0000)  4 Sn 2.93, 4 Hf 3.12
Ag (0.2500, 0.7500, 0.5000)  4 Sn 2.93, 4 Hf 3.12
Sn (0.6215, 0.1250, 0.2500)  2 Ag 2.93, 2 Hf 2.94, 4 Sn 3.10-3.15
Sn (0.1285, 0.6250, 0.2500)  2 Ag 2.93, 2 Hf 2.94, 4 Sn 3.10-3.15
Sn (0.3750, 0.3785, 0.7500)  2 Ag 2.93, 2 Hf 2.94, 4 Sn 3.10-3.15
Sn (0.8750, 0.8715, 0.7500)  2 Ag 2.93, 2 Hf 2.94, 4 Sn 3.10-3.15